# 1
Pm4HoPa3N8: optimized geometry, PBE.

Properties
V ... 252.7 Å³ per cell
ΔE_f (raw) ... -155.6 kJ/mol of atoms
Electronic total energy ... -144.48 eV for the cell shown
DOS at the Fermi energy ... 0.5410 states/eV/atom
Size of the total moment ... 0.0000 μB per atom

Cell: 7.0812 7.1109 7.0813 Å, 119.86 120.00 90.00°
Last column: nearest neighbours and their distance in Å.
Atoms (fractional coordinates):
1 Ho 0.0000 0.5000 0.0000  6 N 2.46
2 N 0.2605 0.2814 0.5209  3 Pa 2.41, 3 Pm 2.62
3 Pm 0.5000 0.0000 0.5000  6 N 2.62-2.64
4 N 0.2444 0.7194 0.9749  2 Pa 2.39, 1 Ho 2.46, 3 Pm 2.57-2.64
5 N 0.2695 0.2806 0.0251  2 Pa 2.39, 1 Ho 2.46, 3 Pm 2.57-2.64
6 N 0.7556 0.2806 0.0251  2 Pa 2.39, 1 Ho 2.46, 3 Pm 2.57-2.64
7 Pm 0.5000 0.0000 0.0000  6 N 2.57
8 Pm 0.0000 0.0000 0.5000  6 N 2.62-2.64
9 Pa 0.5000 0.5000 0.5000  6 N 2.39-2.41
10 Pm 0.0000 0.0000 0.0000  6 N 2.62-2.64
11 N 0.7395 0.7186 0.4791  3 Pa 2.41, 3 Pm 2.62
12 Pa 0.0000 0.5000 0.5000  6 N 2.39-2.41
13 N 0.7305 0.7194 0.9749  2 Pa 2.39, 1 Ho 2.46, 3 Pm 2.57-2.64
14 N 0.2444 0.7194 0.4889  2 Pa 2.39, 1 Ho 2.46, 3 Pm 2.57-2.64
15 N 0.7556 0.2806 0.5111  2 Pa 2.39, 1 Ho 2.46, 3 Pm 2.57-2.64
16 Pa 0.5000 0.5000 0.0000  6 N 2.39-2.41

# 2
PmHo2PaN4: optimized geometry, PBE.

Properties
V ... 121.4 Å³ per cell
ΔE_f (raw) ... -159.2 kJ/mol of atoms
Electronic total energy ... -69.90 eV for the cell shown
DOS at the Fermi energy ... 0.4433 states/eV/atom
Size of the total moment ... 0.0000 μB per atom

Cell: 3.5128 6.0685 6.0309 Å, 109.21 90.00 90.00°
Last column: nearest neighbours and their distance in Å.
Atoms (fractional coordinates):
1 N 0.0000 0.2297 0.7516  1 Pa 2.36, 3 Ho 2.44-2.58, 2 Pm 2.53
2 N 0.0000 0.7703 0.2484  1 Pa 2.36, 3 Ho 2.44-2.58, 2 Pm 2.53
3 Pa 0.0000 0.0000 0.0000  6 N 2.36-2.44
4 N 0.5000 0.2371 0.2474  3 Ho 2.42-2.52, 2 Pa 2.44, 1 Pm 2.52
5 N 0.5000 0.7629 0.7526  3 Ho 2.42-2.52, 2 Pa 2.44, 1 Pm 2.52
6 Pm 0.5000 0.5000 0.0000  6 N 2.52-2.53
7 Ho 0.0000 0.5000 0.5000  6 N 2.52-2.58
8 Ho 0.5000 0.0000 0.5000  6 N 2.42-2.44

# 3
Pm3HoPa3N8: optimized geometry, PBE.

Properties
V ... 247.7 Å³ per cell
ΔE_f (raw) ... -142.3 kJ/mol of atoms
Electronic total energy ... -136.05 eV for the cell shown
DOS at the Fermi energy ... 0.2870 states/eV/atom
Size of the total moment ... 0.0000 μB per atom

Cell: 7.0371 7.0368 7.0612 Å, 119.89 90.00 120.00°
Last column: nearest neighbours and their distance in Å.
Atoms (fractional coordinates):
1 N 0.2667 0.0307 0.2948  2 Pa 2.35, 1 Ho 2.36
2 N 0.7333 0.9693 0.7052  2 Pa 2.35, 1 Ho 2.36
3 Pm 0.5000 0.5000 0.0000  6 N 2.58-2.65
4 Pa 0.5000 0.5000 0.5000  6 N 2.35-2.41
5 Pm 0.0000 0.5000 0.0000  6 N 2.58-2.65
6 Pa 0.5000 0.0000 0.5000  6 N 2.35-2.41
7 Ho 0.0000 0.0000 0.5000  6 N 2.36
8 N 0.2582 0.5163 0.2745  3 Pa 2.41, 3 Pm 2.58
9 N 0.7641 0.5281 0.2948  2 Pa 2.35, 1 Ho 2.36
10 Pa 0.0000 0.5000 0.5000  6 N 2.35-2.41
11 N 0.7418 0.4837 0.7255  3 Pa 2.41, 3 Pm 2.58
12 Pm 0.0000 0.0000 0.0000  6 N 2.58-2.65
13 N 0.2359 0.4719 0.7052  2 Pa 2.35, 1 Ho 2.36
14 N 0.7641 0.0307 0.2948  2 Pa 2.35, 1 Ho 2.36
15 N 0.2359 0.9693 0.7052  2 Pa 2.35, 1 Ho 2.36

# 4
PrHo2PaN4: optimized geometry, PBE.

Properties
V ... 123.4 Å³ per cell
ΔE_f (raw) ... -154.5 kJ/mol of atoms
Electronic total energy ... -69.55 eV for the cell shown
DOS at the Fermi energy ... 0.4350 states/eV/atom
Size of the total moment ... 0.0000 μB per atom

Cell: 3.5285 6.1180 6.0551 Å, 109.21 90.00 90.00°
Last column: nearest neighbours and their distance in Å.
Atoms (fractional coordinates):
1 N 0.0000 0.7764 0.2508  1 Pa 2.35, 3 Ho 2.43-2.61, 2 Pr 2.57
2 Ho 0.5000 0.0000 0.5000  6 N 2.41-2.43
3 Pr 0.5000 0.5000 0.0000  6 N 2.55-2.57
4 N 0.0000 0.2236 0.7492  1 Pa 2.35, 3 Ho 2.43-2.61, 2 Pr 2.57
5 N 0.5000 0.2344 0.2490  3 Ho 2.41-2.54, 2 Pa 2.45, 1 Pr 2.55
6 N 0.5000 0.7656 0.7510  3 Ho 2.41-2.54, 2 Pa 2.45, 1 Pr 2.55
7 Ho 0.0000 0.5000 0.5000  6 N 2.54-2.61
8 Pa 0.0000 0.0000 0.0000  6 N 2.35-2.45

# 5
Pr3HoPa2N6: optimized geometry, PBE.

Properties
V ... 194.8 Å³ per cell
ΔE_f (raw) ... -151.7 kJ/mol of atoms
Electronic total energy ... -106.73 eV for the cell shown
DOS at the Fermi energy ... 0.4354 states/eV/atom
Size of the total moment ... 0.0000 μB per atom

Cell: 6.1652 6.1652 6.2655 Å, 99.42 99.42 120.03°
Last column: nearest neighbours and their distance in Å.
Atoms (fractional coordinates):
1 Ho 0.0000 0.0000 0.0000  6 N 2.47
2 Pr 0.1656 0.8344 0.5000  6 N 2.62-2.70
3 Pr 0.5000 0.5000 0.5000  6 N 2.62-2.70
4 N 0.0708 0.4158 0.2118  2 Pa 2.38, 1 Ho 2.47, 1 Pr 2.62
5 N 0.7257 0.7257 0.2115  2 Pa 2.38, 1 Ho 2.47, 1 Pr 2.62
6 Pa 0.6667 0.3333 0.0000  6 N 2.38
7 Pa 0.3333 0.6667 0.0000  6 N 2.38
8 N 0.9292 0.5842 0.7882  2 Pa 2.38, 1 Ho 2.47, 1 Pr 2.62
9 N 0.5842 0.9292 0.7882  2 Pa 2.38, 1 Ho 2.47, 1 Pr 2.62
10 N 0.4158 0.0708 0.2118  2 Pa 2.38, 1 Ho 2.47, 1 Pr 2.62
11 Pr 0.8344 0.1656 0.5000  6 N 2.62-2.70
12 N 0.2743 0.2743 0.7885  2 Pa 2.38, 1 Ho 2.47, 1 Pr 2.62

# 6
HoPu3Pa2N6: optimized geometry, PBE.

Properties
V ... 181.3 Å³ per cell
ΔE_f (raw) ... -143.0 kJ/mol of atoms
Electronic total energy ... -134.31 eV for the cell shown
DOS at the Fermi energy ... 1.1191 states/eV/atom
Size of the total moment ... 1.3309 μB per atom

Cell: 6.0607 6.0607 6.0440 Å, 99.62 99.62 119.98°
Last column: nearest neighbours and their distance in Å.
Atoms (fractional coordinates):
1 N 0.4184 0.0791 0.2368  2 Pa 2.41, 1 Ho 2.46, 3 Pu 2.50-2.53
2 Pa 0.3331 0.6669 0.0000  6 N 2.41-2.42
3 Ho 0.0000 0.0000 0.0000  6 N 2.46
4 Pu 0.1647 0.8353 0.5000  6 N 2.50-2.53
5 N 0.9209 0.5816 0.7632  2 Pa 2.41, 1 Ho 2.46, 3 Pu 2.50-2.53
6 N 0.5816 0.9209 0.7632  2 Pa 2.41, 1 Ho 2.46, 3 Pu 2.50-2.53
7 Pu 0.8353 0.1647 0.5000  6 N 2.50-2.53
8 N 0.7397 0.7397 0.2365  2 Pa 2.42, 1 Ho 2.46, 3 Pu 2.49-2.52
9 N 0.0791 0.4184 0.2368  2 Pa 2.41, 1 Ho 2.46, 3 Pu 2.50-2.53
10 N 0.2603 0.2603 0.7635  2 Pa 2.42, 1 Ho 2.46, 3 Pu 2.49-2.52
11 Pa 0.6669 0.3331 0.0000  6 N 2.41-2.42
12 Pu 0.5000 0.5000 0.5000  6 N 2.49-2.53

# 7
HoPuPa2N5: optimized geometry, PBE.

Properties
V ... 286.1 Å³ per cell
ΔE_f (raw) ... -142.2 kJ/mol of atoms
Electronic total energy ... -185.58 eV for the cell shown
DOS at the Fermi energy ... 0.9634 states/eV/atom
Size of the total moment ... 0.6663 μB per atom

Cell: 3.6218 7.1533 11.4150 Å, 90.00 90.00 104.66°
Last column: nearest neighbours and their distance in Å.
Atoms (fractional coordinates):
1 Pa 0.8713 0.7425 0.1937  4 N 2.19-2.38
2 Pu 0.4845 0.9691 0.4779  4 N 2.27-2.37
3 Pu 0.5155 0.0309 0.9779  4 N 2.27-2.37
4 Pa 0.8543 0.7087 0.7289  6 N 2.23-2.44
5 N 0.6986 0.3972 0.8231  3 Pa 2.41-2.53, 2 Ho 2.53
6 N 0.2850 0.5701 0.6129  3 Pa 2.35-2.44, 2 Ho 2.54
7 N 0.0250 0.0499 0.0994  2 Pa 2.23-2.38, 2 Pu 2.28
8 N 0.3779 0.7559 0.0865  2 Pa 2.19, 1 Ho 2.24, 1 Pu 2.27
9 Ho 0.2519 0.5038 0.9632  2 N 2.24-2.37
10 N 0.7150 0.4299 0.1129  3 Pa 2.35-2.44, 2 Ho 2.54
11 N 0.3014 0.6028 0.3231  3 Pa 2.41-2.53, 2 Ho 2.53
12 Pa 0.1457 0.2913 0.2289  6 N 2.23-2.44
13 N 0.6117 0.2234 0.3383  2 Pa 2.25, 1 Ho 2.37, 1 Pu 2.37
14 N 0.6221 0.2441 0.5865  2 Pa 2.19, 1 Ho 2.24, 1 Pu 2.27
15 Ho 0.7481 0.4962 0.4632  2 N 2.24-2.37
16 Pa 0.1287 0.2575 0.6937  4 N 2.19-2.38
17 N 0.9750 0.9501 0.5994  2 Pa 2.23-2.38, 2 Pu 2.28
18 N 0.3883 0.7766 0.8383  2 Pa 2.25, 1 Ho 2.37, 1 Pu 2.37

# 8
Ho2PuPaN6: optimized geometry, PBE.

Properties
V ... 144.7 Å³ per cell
ΔE_f (raw) ... -123.4 kJ/mol of atoms
Electronic total energy ... -95.73 eV for the cell shown
Size of the total moment ... 0.0996 μB per atom

Cell: 5.8497 5.8497 5.9378 Å, 60.49 60.49 60.00°
Last column: nearest neighbours and their distance in Å.
Atoms (fractional coordinates):
1 Pa 0.8116 0.8116 0.5652  6 N 2.26-2.28
2 N 0.5911 0.1829 0.2642  1 Pu 2.14, 1 Pa 2.28, 1 Ho 2.35
3 N 0.9618 0.5911 0.2642  1 Pu 2.14, 1 Pa 2.28, 1 Ho 2.35
4 Ho 0.5392 0.5392 0.3823  6 N 2.35-2.52
5 Pu 0.3170 0.3170 0.0491  6 N 2.10-2.14
6 N 0.1150 0.4380 0.7768  1 Pu 2.10, 1 Pa 2.26, 1 Ho 2.33
7 N 0.6702 0.1150 0.7768  1 Pu 2.10, 1 Pa 2.26, 1 Ho 2.33
8 Ho 0.0349 0.0349 0.8954  6 N 2.33-2.51
9 N 0.1829 0.9618 0.2642  1 Pu 2.14, 1 Pa 2.28, 1 Ho 2.35
10 N 0.4380 0.6702 0.7768  1 Pu 2.10, 1 Pa 2.26, 1 Ho 2.33

# 9
HoPuPa2N6: optimized geometry, PBE.

Properties
V ... 150.8 Å³ per cell
ΔE_f (raw) ... -133.9 kJ/mol of atoms
Electronic total energy ... -101.73 eV for the cell shown
DOS at the Fermi energy ... 0.9672 states/eV/atom
Size of the total moment ... 0.3000 μB per atom

Cell: 5.9462 5.9462 6.0033 Å, 60.31 60.31 60.00°
Last column: nearest neighbours and their distance in Å.
Atoms (fractional coordinates):
1 Pa 0.5284 0.5284 0.4148  6 N 2.29-2.36
2 Ho 0.7990 0.7990 0.6031  6 N 2.34-2.49
3 N 0.1434 0.4024 0.7573  1 Pu 2.26, 2 Pa 2.28-2.36, 1 Ho 2.34
4 N 0.6969 0.1434 0.7573  1 Pu 2.26, 2 Pa 2.28-2.36, 1 Ho 2.34
5 Pu 0.3092 0.3092 0.0724  6 N 2.26
6 Pa 0.0241 0.0241 0.9277  6 N 2.28-2.33
7 N 0.4024 0.6970 0.7572  1 Pu 2.26, 2 Pa 2.28-2.36, 1 Ho 2.34
8 N 0.2114 0.9216 0.2418  1 Pu 2.26, 2 Pa 2.29-2.33, 1 Ho 2.49
9 N 0.9216 0.6252 0.2418  1 Pu 2.26, 2 Pa 2.29-2.33, 1 Ho 2.49
10 N 0.6252 0.2114 0.2418  1 Pu 2.26, 2 Pa 2.29-2.33, 1 Ho 2.49

# 10
HoPa2RhN5: optimized geometry, PBE.

Properties
V ... 234.0 Å³ per cell
ΔE_f (raw) ... -107.9 kJ/mol of atoms
Electronic total energy ... -165.22 eV for the cell shown
DOS at the Fermi energy ... 0.3141 states/eV/atom
Size of the total moment ... 0.0000 μB per atom

Cell: 3.3781 6.9045 10.3488 Å, 90.00 90.00 104.16°
Last column: nearest neighbours and their distance in Å.
Atoms (fractional coordinates):
1 N 0.6703 0.3406 0.8499  1 Rh 2.27, 2 Ho 2.34
2 N 0.3683 0.7367 0.0000  1 Rh 2.11, 1 Ho 2.27
3 Pa 0.8929 0.7858 0.1848  4 N 2.28-2.55
4 Pa 0.8587 0.7175 0.7986  6 N 2.36-2.58
5 Rh 0.5222 0.0445 0.9566  4 N 1.99-2.17
6 Ho 0.1989 0.3978 0.0023  6 N 2.24-2.48
7 N 0.0442 0.0884 0.0844  2 Rh 2.17, 1 Ho 2.24, 1 Pa 2.28
8 N 0.9558 0.9116 0.5844  2 Rh 2.17, 1 Ho 2.24, 1 Pa 2.28
9 Pa 0.1413 0.2825 0.2986  6 N 2.36-2.58
10 Ho 0.8011 0.6022 0.5023  6 N 2.24-2.48
11 Rh 0.4778 0.9555 0.4566  4 N 1.99-2.17
12 N 0.5192 0.0385 0.2718  1 Rh 1.99
13 N 0.2800 0.5600 0.6756  3 Pa 2.32-2.36, 2 Ho 2.48
14 N 0.6317 0.2633 0.5000  1 Rh 2.11, 1 Ho 2.27
15 N 0.3297 0.6594 0.3499  1 Rh 2.27, 2 Ho 2.34
16 Pa 0.1071 0.2142 0.6848  4 N 2.28-2.55
17 N 0.4808 0.9615 0.7718  1 Rh 1.99
18 N 0.7200 0.4400 0.1756  3 Pa 2.32-2.36, 2 Ho 2.48

# 11
Ho3Pa3RuN8: optimized geometry, PBE.

Properties
V ... 221.6 Å³ per cell
ΔE_f (raw) ... -125.5 kJ/mol of atoms
Electronic total energy ... -137.60 eV for the cell shown
DOS at the Fermi energy ... 0.3446 states/eV/atom
Size of the total moment ... 0.0000 μB per atom

Cell: 6.7695 6.7695 6.8153 Å, 119.77 90.00 120.00°
Last column: nearest neighbours and their distance in Å.
Atoms (fractional coordinates):
1 Ho 0.0000 0.0000 0.0000  6 N 2.40-2.47
2 N 0.7501 0.9870 0.7237  1 Ru 2.28, 2 Pa 2.34, 2 Ho 2.47
3 N 0.2493 0.4987 0.2481  3 Ho 2.40, 3 Pa 2.41
4 Ru 0.0000 0.0000 0.5000  6 N 2.28
5 N 0.7507 0.5013 0.7519  3 Ho 2.40, 3 Pa 2.41
6 Pa 0.0000 0.5000 0.5000  6 N 2.34-2.41
7 Pa 0.5000 0.5000 0.5000  6 N 2.34-2.41
8 N 0.2499 0.0130 0.2763  1 Ru 2.28, 2 Pa 2.34, 2 Ho 2.47
9 Ho 0.0000 0.5000 0.0000  6 N 2.40-2.47
10 Ho 0.5000 0.5000 0.0000  6 N 2.40-2.47
11 Pa 0.5000 0.0000 0.5000  6 N 2.34-2.41
12 N 0.2368 0.4736 0.7237  1 Ru 2.28, 2 Pa 2.34, 2 Ho 2.47
13 N 0.7632 0.5264 0.2763  1 Ru 2.28, 2 Pa 2.34, 2 Ho 2.47
14 N 0.7631 0.0130 0.2762  1 Ru 2.28, 2 Pa 2.34, 2 Ho 2.47
15 N 0.2369 0.9870 0.7238  1 Ru 2.28, 2 Pa 2.34, 2 Ho 2.47

# 12
HoPaSN2: optimized geometry, PBE.

Properties
V ... 88.2 Å³ per cell
ΔE_f (raw) ... -171.0 kJ/mol of atoms
Electronic total energy ... -43.71 eV for the cell shown
DOS at the Fermi energy ... 0.0000 states/eV/atom
Size of the total moment ... 0.0000 μB per atom

Cell: 3.8436 3.8436 6.5620 Å, 107.03 107.03 90.00°
Last column: nearest neighbours and their distance in Å.
Atoms (fractional coordinates):
1 N 0.7452 0.2452 0.4903  2 Pa 2.17, 2 Ho 2.27
2 Ho 0.8462 0.8462 0.6923  4 N 2.27
3 N 0.2452 0.7452 0.4903  2 Pa 2.17, 2 Ho 2.27
4 Pa 0.1600 0.1600 0.3199  4 N 2.17
5 S 0.5035 0.5035 0.0071  4 Pa 3.30, 4 Ho 3.30, 8 N 3.47-3.64